(1)
! HfSiAsO | OQMD | GGA-PBE | optimized geometry; values from VASP
&SYSTEM
  ibrav = 0, nat = 8, ntyp = 4
/
ATOMIC_SPECIES
Hf 178.49 Hf.upf
Si 28.09 Si.upf
As 74.92 As.upf
O 16.00 O.upf
CELL_PARAMETERS angstrom
3.711 0.000 0.000
0.000 5.686 0.000
0.000 0.000 6.207
ATOMIC_POSITIONS angstrom
Hf 0.000 0.483 0.000
Hf 0.000 5.203 3.104
Si 1.856 1.756 1.884
Si 1.856 3.930 4.988
As 1.856 1.400 4.428
As 1.856 4.286 1.324
O 0.000 1.379 1.981
O 0.000 4.308 5.085
! **Total energy**: -0.264 hartree per atom
! **Crystal system**: orthorhombic


(2)
! HfSiAsO | OQMD | GGA-PBE | optimized geometry; values from VASP
&SYSTEM
  ibrav = 0, nat = 8, ntyp = 4
/
ATOMIC_SPECIES
Hf 178.49 Hf.upf
Si 28.09 Si.upf
As 74.92 As.upf
O 16.00 O.upf
CELL_PARAMETERS angstrom
3.511 0.000 0.000
0.000 3.511 0.000
0.000 0.000 10.163
ATOMIC_POSITIONS angstrom
Hf 0.878 0.878 1.242
Hf 2.634 2.634 8.921
Si 0.878 2.634 5.082
Si 2.634 0.878 5.082
As 0.878 0.878 7.438
As 2.634 2.634 2.725
O 0.878 2.634 0.000
O 2.634 0.878 0.000
! **Total energy**: -0.277 hartree per atom
! **Crystal system**: tetragonal


(3)
! HfSiAsO | OQMD | GGA-PBE | optimized geometry; values from VASP
&SYSTEM
  ibrav = 0, nat = 8, ntyp = 4
/
ATOMIC_SPECIES
Hf 178.49 Hf.upf
Si 28.09 Si.upf
As 74.92 As.upf
O 16.00 O.upf
CELL_PARAMETERS angstrom
3.526 0.000 0.000
0.000 5.768 0.000
0.000 0.000 6.710
ATOMIC_POSITIONS angstrom
Hf 0.000 1.204 0.000
Hf 0.000 4.564 3.355
Si 1.763 0.778 4.027
Si 1.763 4.990 0.672
As 0.000 1.751 2.648
As 0.000 4.018 6.003
O 1.763 1.518 5.560
O 1.763 4.250 2.205
! **Total energy**: -0.270 hartree per atom
! **Crystal system**: orthorhombic


(4)
! HfTaAsO | OQMD | GGA-PBE | optimized geometry; values from VASP
&SYSTEM
  ibrav = 0, nat = 8, ntyp = 4
/
ATOMIC_SPECIES
Hf 178.49 Hf.upf
Ta 180.95 Ta.upf
As 74.92 As.upf
O 16.00 O.upf
CELL_PARAMETERS angstrom
3.598 0.000 0.000
0.000 7.004 0.000
0.000 0.000 5.607
ATOMIC_POSITIONS angstrom
Hf 0.000 0.741 0.000
Hf 0.000 6.263 2.803
Ta 1.799 1.657 2.903
Ta 1.799 5.347 0.100
As 1.799 2.727 5.300
As 1.799 4.278 2.496
O 0.000 1.369 2.045
O 0.000 5.636 4.849
! **Total energy**: -0.329 hartree per atom
! **Crystal system**: orthorhombic